## CaCoOF2 (PBE+U)

Data for an optimized crystal structure of CaCoOF2.

a = 4.2692 Å, b = 4.2692 Å, c = 4.4942 Å
α = 90.00°, β = 90.00°, γ = 90.00°
Each line ends with the local moment (μB).
Fractional positions:
Ca (0.0000, 0.0000, 0.0000)  -0.02
Co (0.5000, 0.5000, 0.5000)  2.39
O (0.0000, 0.0000, 0.5000)  -0.46
F (0.5000, 0.0000, 0.0000)  0.01
F (0.0000, 0.5000, 0.0000)  0.01

Calculated values
Energy: -23.525 eV per cell
SG: No. 123
E above lowest polymorph: 68.0 kJ per mole of atoms
V: 16.38 A^3/atom
Magnetization: 1.92 μB per cell
Mass density: 3.10 g cm⁻³